First-principles (PBE) data for crystalline ScTi2CuN at its relaxed geometry, as listed in Alexandria.

Structure (CIF):
```
data_ScTi2CuN
_cell_length_a 4.102
_cell_length_b 4.102
_cell_length_c 4.330
_cell_angle_alpha 90.00
_cell_angle_beta 90.00
_cell_angle_gamma 90.00
_symmetry_space_group_name_H-M 'P 4/m m m'
_symmetry_Int_Tables_number 123
_symmetry_space_group_name_Hall '-P 4 2'
loop_
_atom_site_label
_atom_site_fract_x
_atom_site_fract_y
_atom_site_fract_z
_atom_site_occupancy
Sc1 0.000 0.000 0.000 1
Ti1 0.000 0.500 0.500 1
Cu1 0.500 0.500 0.000 1
N1 0.000 0.000 0.500 1
```

magnetic moment: 0.00 μB per formula unit
ΔE_f (raw): -3.96 eV/f.u.



First-principles (PBE) data for crystalline Sc2VCuN at its relaxed geometry, as listed in Alexandria.

Structure (CIF):
```
data_Sc2VCuN
_cell_length_a 4.448
_cell_length_b 4.448
_cell_length_c 3.850
_cell_angle_alpha 90.00
_cell_angle_beta 90.00
_cell_angle_gamma 90.00
_symmetry_space_group_name_H-M 'P 4/m m m'
_symmetry_Int_Tables_number 123
_symmetry_space_group_name_Hall '-P 4 2'
loop_
_atom_site_label
_atom_site_fract_x
_atom_site_fract_y
_atom_site_fract_z
_atom_site_occupancy
Sc1 0.000 0.500 0.000 1
V1 0.000 0.000 0.500 1
Cu1 0.500 0.500 0.500 1
N1 0.000 0.000 0.000 1
```

magnetic moment: 1.72 μB per formula unit
ΔE_f (raw): -3.55 eV/f.u.



First-principles (PBE) data for crystalline YSc2CuN at its relaxed geometry, as listed in Alexandria.

Structure (CIF):
```
data_YSc2CuN
_cell_length_a 4.364
_cell_length_b 4.364
_cell_length_c 4.820
_cell_angle_alpha 90.00
_cell_angle_beta 90.00
_cell_angle_gamma 90.00
_symmetry_space_group_name_H-M 'P 4/m m m'
_symmetry_Int_Tables_number 123
_symmetry_space_group_name_Hall '-P 4 2'
loop_
_atom_site_label
_atom_site_fract_x
_atom_site_fract_y
_atom_site_fract_z
_atom_site_occupancy
Y1 0.000 0.000 0.000 1
Sc1 0.000 0.500 0.500 1
Cu1 0.500 0.500 0.000 1
N1 0.000 0.000 0.500 1
```

magnetic moment: 0.00 μB per formula unit
ΔE_f (raw): -3.83 eV/f.u.



First-principles (PBE) data for crystalline ZrSc2CuN at its relaxed geometry, as listed in Alexandria.

Structure (CIF):
```
data_ZrSc2CuN
_cell_length_a 4.352
_cell_length_b 4.352
_cell_length_c 4.469
_cell_angle_alpha 90.00
_cell_angle_beta 90.00
_cell_angle_gamma 90.00
_symmetry_space_group_name_H-M 'P 4/m m m'
_symmetry_Int_Tables_number 123
_symmetry_space_group_name_Hall '-P 4 2'
loop_
_atom_site_label
_atom_site_fract_x
_atom_site_fract_y
_atom_site_fract_z
_atom_site_occupancy
Zr1 0.000 0.000 0.000 1
Sc1 0.000 0.500 0.500 1
Cu1 0.500 0.500 0.000 1
N1 0.000 0.000 0.500 1
```

magnetic moment: 0.00 μB per formula unit
ΔE_f (raw): -3.93 eV/f.u.



First-principles (PBE) data for crystalline CuSeN2 at its relaxed geometry, as listed in Alexandria.

Structure (CIF):
```
data_CuSeN2
_cell_length_a 3.957
_cell_length_b 3.964
_cell_length_c 8.535
_cell_angle_alpha 83.00
_cell_angle_beta 87.90
_cell_angle_gamma 60.07
_symmetry_space_group_name_H-M 'P 1'
_symmetry_Int_Tables_number 1
loop_
_symmetry_equiv_pos_as_xyz
'x,y,z'
loop_
_atom_site_label
_atom_site_fract_x
_atom_site_fract_y
_atom_site_fract_z
_atom_site_occupancy
Cu1 0.000 0.000 0.000 1
Se1 0.333 0.334 0.000 1
N1 0.272 0.423 0.540 1
N2 0.399 0.188 0.461 1
```

magnetic moment: 0.32 μB per formula unit
ΔE_f (raw): 0.29 eV/f.u.



First-principles (PBE) data for crystalline CuSe3N at its relaxed geometry, as listed in Alexandria.

Structure (CIF):
```
data_CuSe3N
_cell_length_a 4.373
_cell_length_b 4.373
_cell_length_c 4.373
_cell_angle_alpha 90.00
_cell_angle_beta 90.00
_cell_angle_gamma 90.00
_symmetry_space_group_name_H-M 'P m -3 m'
_symmetry_Int_Tables_number 221
_symmetry_space_group_name_Hall '-P 4 2 3'
loop_
_atom_site_label
_atom_site_fract_x
_atom_site_fract_y
_atom_site_fract_z
_atom_site_occupancy
Cu1 0.000 0.000 0.000 1
Se1 0.000 0.500 0.500 1
N1 0.500 0.500 0.500 1
```

ΔE to the lowest computed polymorph: 0 meV/atom
magnetic moment: 0.00 μB per formula unit
ΔE_f (raw): 5.18 eV/f.u.



First-principles (PBE) data for crystalline CuSeN2 at its relaxed geometry, as listed in Alexandria.

Structure (CIF):
```
data_CuSeN2
_cell_length_a 3.1070
_cell_length_b 3.1070
_cell_length_c 17.5479
_cell_angle_alpha 90.00
_cell_angle_beta 90.00
_cell_angle_gamma 120.00
_symmetry_space_group_name_H-M 'R -3 m'
_symmetry_Int_Tables_number 166
_symmetry_space_group_name_Hall '-R 3 2"'
loop_
_atom_site_label
_atom_site_fract_x
_atom_site_fract_y
_atom_site_fract_z
_atom_site_occupancy
Cu1 0.0000 0.0000 0.0000 1
Se1 0.0000 0.0000 0.5000 1
N1 0.0000 0.0000 0.1047 1
```

magnetic moment: 0.00 μB per formula unit
ΔE_f (raw): 4.10 eV/f.u.



First-principles (PBE) data for crystalline CuSe3N at its relaxed geometry, as listed in Alexandria.

Structure (CIF):
```
data_CuSe3N
_cell_length_a 4.804
_cell_length_b 4.804
_cell_length_c 4.804
_cell_angle_alpha 90.00
_cell_angle_beta 90.00
_cell_angle_gamma 90.00
_symmetry_space_group_name_H-M 'P m -3 m'
_symmetry_Int_Tables_number 221
_symmetry_space_group_name_Hall '-P 4 2 3'
loop_
_atom_site_label
_atom_site_fract_x
_atom_site_fract_y
_atom_site_fract_z
_atom_site_occupancy
Cu1 0.000 0.000 0.000 1
Se1 0.000 0.000 0.500 1
N1 0.500 0.500 0.500 1
```

ΔE to the lowest computed polymorph: 446 meV/atom
magnetic moment: 2.52 μB per formula unit
ΔE_f (raw): 7.41 eV/f.u.



First-principles (PBE) data for crystalline CuSeN2 at its relaxed geometry, as listed in Alexandria.

Structure (CIF):
```
data_CuSeN2
_cell_length_a 4.580
_cell_length_b 4.580
_cell_length_c 9.688
_cell_angle_alpha 90.00
_cell_angle_beta 90.00
_cell_angle_gamma 90.00
_symmetry_space_group_name_H-M 'I -4 2 d'
_symmetry_Int_Tables_number 122
_symmetry_space_group_name_Hall 'I -4 2bw'
loop_
_atom_site_label
_atom_site_fract_x
_atom_site_fract_y
_atom_site_fract_z
_atom_site_occupancy
Cu1 0.000 0.000 0.000 1
Se1 0.000 0.000 0.500 1
N1 0.239 0.250 0.625 1
```

magnetic moment: 0.00 μB per formula unit
ΔE_f (raw): 4.47 eV/f.u.



First-principles (PBE) data for crystalline Cu3SeN at its relaxed geometry, as listed in Alexandria.

Structure (CIF):
```
data_Cu3SeN
_cell_length_a 4.522
_cell_length_b 4.522
_cell_length_c 4.522
_cell_angle_alpha 90.00
_cell_angle_beta 90.00
_cell_angle_gamma 90.00
_symmetry_space_group_name_H-M 'P m -3 m'
_symmetry_Int_Tables_number 221
_symmetry_space_group_name_Hall '-P 4 2 3'
loop_
_atom_site_label
_atom_site_fract_x
_atom_site_fract_y
_atom_site_fract_z
_atom_site_occupancy
Cu1 0.000 0.000 0.500 1
Se1 0.000 0.000 0.000 1
N1 0.500 0.500 0.500 1
```

ΔE to the lowest computed polymorph: 968 meV/atom
magnetic moment: 2.00 μB per formula unit
ΔE_f (raw): 6.50 eV/f.u.



First-principles (PBE) data for crystalline CuSeN2 at its relaxed geometry, as listed in Alexandria.

Structure (CIF):
```
data_CuSeN2
_cell_length_a 3.0847
_cell_length_b 3.0847
_cell_length_c 17.3504
_cell_angle_alpha 90.00
_cell_angle_beta 90.00
_cell_angle_gamma 120.00
_symmetry_space_group_name_H-M 'R -3 m'
_symmetry_Int_Tables_number 166
_symmetry_space_group_name_Hall '-R 3 2"'
loop_
_atom_site_label
_atom_site_fract_x
_atom_site_fract_y
_atom_site_fract_z
_atom_site_occupancy
Cu1 0.0000 0.0000 0.0000 1
Se1 0.0000 0.0000 0.5000 1
N1 0.0000 0.0000 0.3889 1
```

magnetic moment: 0.00 μB per formula unit
ΔE_f (raw): 4.45 eV/f.u.



First-principles (PBE) data for crystalline Cu3SeN at its relaxed geometry, as listed in Alexandria.

Structure (CIF):
```
data_Cu3SeN
_cell_length_a 4.004
_cell_length_b 4.004
_cell_length_c 4.004
_cell_angle_alpha 90.00
_cell_angle_beta 90.00
_cell_angle_gamma 90.00
_symmetry_space_group_name_H-M 'P m -3 m'
_symmetry_Int_Tables_number 221
_symmetry_space_group_name_Hall '-P 4 2 3'
loop_
_atom_site_label
_atom_site_fract_x
_atom_site_fract_y
_atom_site_fract_z
_atom_site_occupancy
Cu1 0.000 0.000 0.500 1
Se1 0.500 0.500 0.500 1
N1 0.000 0.000 0.000 1
```

ΔE to the lowest computed polymorph: 0 meV/atom
magnetic moment: 0.00 μB per formula unit
ΔE_f (raw): 1.66 eV/f.u.



First-principles (PBE) data for crystalline CuSiSe2N at its relaxed geometry, as listed in Alexandria.

Structure (CIF):
```
data_CuSiSe2N
_cell_length_a 4.982
_cell_length_b 4.982
_cell_length_c 3.580
_cell_angle_alpha 90.00
_cell_angle_beta 90.00
_cell_angle_gamma 90.00
_symmetry_space_group_name_H-M 'P 4/m m m'
_symmetry_Int_Tables_number 123
_symmetry_space_group_name_Hall '-P 4 2'
loop_
_atom_site_label
_atom_site_fract_x
_atom_site_fract_y
_atom_site_fract_z
_atom_site_occupancy
Cu1 0.000 0.000 0.000 1
Si1 0.500 0.500 0.500 1
Se1 0.000 0.500 0.000 1
N1 0.000 0.000 0.500 1
```

ΔE to the lowest computed polymorph: 553 meV/atom
magnetic moment: 1.46 μB per formula unit
ΔE_f (raw): 4.69 eV/f.u.



First-principles (PBE) data for crystalline CuSiSeN2 at its relaxed geometry, as listed in Alexandria.

Structure (CIF):
```
data_CuSiSeN2
_cell_length_a 3.739
_cell_length_b 3.739
_cell_length_c 5.613
_cell_angle_alpha 90.00
_cell_angle_beta 90.00
_cell_angle_gamma 90.00
_symmetry_space_group_name_H-M 'P 4/m m m'
_symmetry_Int_Tables_number 123
_symmetry_space_group_name_Hall '-P 4 2'
loop_
_atom_site_label
_atom_site_fract_x
_atom_site_fract_y
_atom_site_fract_z
_atom_site_occupancy
Cu1 0.000 0.000 0.000 1
Si1 0.500 0.500 0.500 1
Se1 0.000 0.000 0.500 1
N1 0.000 0.500 0.000 1
```

ΔE to the lowest computed polymorph: 1034 meV/atom
magnetic moment: 3.02 μB per formula unit
ΔE_f (raw): 7.61 eV/f.u.



First-principles (PBE) data for crystalline CuSiSe2N at its relaxed geometry, as listed in Alexandria.

Structure (CIF):
```
data_CuSiSe2N
_cell_length_a 5.119
_cell_length_b 5.119
_cell_length_c 3.229
_cell_angle_alpha 90.00
_cell_angle_beta 90.00
_cell_angle_gamma 90.00
_symmetry_space_group_name_H-M 'P 4/m m m'
_symmetry_Int_Tables_number 123
_symmetry_space_group_name_Hall '-P 4 2'
loop_
_atom_site_label
_atom_site_fract_x
_atom_site_fract_y
_atom_site_fract_z
_atom_site_occupancy
Cu1 0.000 0.000 0.000 1
Si1 0.500 0.500 0.500 1
Se1 0.000 0.500 0.500 1
N1 0.500 0.500 0.000 1
```

ΔE to the lowest computed polymorph: 0 meV/atom
magnetic moment: 0.00 μB per formula unit
ΔE_f (raw): 1.93 eV/f.u.